1.
Entry from Alexandria: a relaxed structure of AcLaIr (PBE-GGA).

The structure in POSCAR format:
```
AcLaIr
1.0
-0.169 -1.352 4.116
7.210 1.877 0.913
-1.936 6.238 1.970
Ac La Ir
2 2 2
Direct
0.750 0.588 0.729
0.250 0.412 0.271
0.750 0.918 0.283
0.250 0.082 0.717
0.750 0.244 0.504
0.250 0.756 0.496
```

Summary:
E_tot: -6.57 eV per atom
Space group: No. 11
M_tot: 0.00 μB per atom
Energy of formation from the pure elements: -1.807 eV/f.u.

=====

2.
Entry from Alexandria: a relaxed structure of Ru2AuF2 (PBE-GGA).

The structure in POSCAR format:
```
Ru2AuF2
1.0
-2.263 3.453 5.974
-6.874 -0.582 -2.267
-0.228 -2.416 1.310
Ru Au F
4 2 4
Direct
0.394 0.894 0.000
0.894 0.606 0.000
0.606 0.106 0.000
0.106 0.394 0.000
0.000 0.000 0.000
0.500 0.500 0.000
0.230 0.730 0.500
0.730 0.770 0.500
0.770 0.270 0.500
0.270 0.230 0.500
```

Summary:
E_tot: -5.07 eV per atom
Space group: No. 127
M_tot: 0.00 μB per atom

=====

3.
Entry from Alexandria: a relaxed structure of PrNdDy2Tm5 (PBE-GGA).

The structure in POSCAR format:
```
PrNdDy2Tm5
1.0
-8.195 -3.241 0.108
0.755 -1.621 8.630
1.059 9.209 -2.863
Pr Nd Dy Tm
2 2 4 10
Direct
0.250 0.250 0.500
0.750 0.750 0.500
0.250 0.750 0.500
0.750 0.250 0.500
0.115 0.385 0.000
0.615 0.115 0.000
0.385 0.885 0.000
0.885 0.615 0.000
0.928 0.428 0.264
0.663 0.163 0.736
0.072 0.572 0.736
0.163 0.072 0.736
0.572 0.663 0.736
0.837 0.928 0.264
0.428 0.337 0.264
0.337 0.837 0.264
0.500 0.500 0.000
0.000 0.000 0.000
```

Summary:
E_tot: -4.29 eV per atom
Space group: No. 140
M_tot: 0.00 μB per atom
Energy of formation from the pure elements: 2.471 eV/f.u.

=====

4.
Entry from Alexandria: a relaxed structure of TbCeErHg (PBE-GGA).

The structure in POSCAR format:
```
TbCeErHg
1.0
-3.514 -3.757 -1.337
0.316 -2.365 -4.748
1.538 -5.075 -0.343
Tb Hg Ce Er
1 1 1 1
Direct
0.000 0.000 0.000
0.750 0.750 0.750
0.250 0.250 0.250
0.500 0.500 0.500
```

Summary:
E_tot: -3.84 eV per atom
Space group: No. 216
M_tot: 0.21 μB per atom
Energy of formation from the pure elements: 0.058 eV/f.u.